No. 1
YTm4Mg7 (GGA-PBE, optimized geometry); magnetic moment = 0.00 μB/atom; total DFT energy (no corrections) = -2.97 eV/atom; calculated formation energy = -0.2 eV/f.u.; symmetry = No. 164
1.0
5.273 0.000 0.000
-2.636 4.567 0.000
0.000 0.000 13.109
Y Tm Mg
1 4 7
Direct
0.000 0.000 0.000
0.333 0.667 0.163
0.333 0.667 0.423
0.667 0.333 0.577
0.667 0.333 0.837
0.000 0.000 0.262
0.000 0.000 0.500
0.000 0.000 0.738
0.333 0.667 0.681
0.333 0.667 0.918
0.667 0.333 0.082
0.667 0.333 0.319

No. 2
Y5Tm2Mg5 (GGA-PBE, optimized geometry); magnetic moment = 0.00 μB/atom; total DFT energy (no corrections) = -4.15 eV/atom; calculated formation energy = -0.5 eV/f.u.; symmetry = No. 12
1.0
8.543 -1.800 0.000
8.543 1.800 0.000
-5.069 0.000 11.024
Y Tm Mg
5 2 5
Direct
0.000 0.000 0.000
0.054 0.054 0.743
0.164 0.164 0.521
0.836 0.836 0.479
0.946 0.946 0.257
0.378 0.378 0.742
0.622 0.622 0.258
0.274 0.274 0.223
0.330 0.330 0.999
0.500 0.500 0.500
0.670 0.670 0.001
0.726 0.726 0.777

No. 3
YTm2Mg (GGA-PBE, optimized geometry); magnetic moment = 0.00 μB/atom; total DFT energy (no corrections) = -4.17 eV/atom; calculated formation energy = 0.3 eV/f.u.; E above lowest polymorph = 2.60 kcal/mol of atoms; symmetry = No. 225
1.0
0.000 3.866 3.866
3.866 0.000 3.866
3.866 3.866 0.000
Y Tm Mg
1 2 1
Direct
0.000 0.000 0.000
0.250 0.250 0.250
0.750 0.750 0.750
0.500 0.500 0.500

No. 4
Y3Tm7Mg (GGA-PBE, optimized geometry); magnetic moment = 0.00 μB/atom; total DFT energy (no corrections) = -4.55 eV/atom; calculated formation energy = 2.2 eV/f.u.; symmetry = No. 156
1.0
6.910 0.000 0.000
-3.455 5.984 0.000
0.000 0.000 8.502
Y Tm Mg
3 7 1
Direct
0.168 0.336 0.000
0.168 0.832 0.000
0.664 0.832 0.000
0.006 0.503 0.341
0.333 0.166 0.664
0.333 0.667 0.668
0.497 0.503 0.341
0.497 0.994 0.341
0.834 0.166 0.664
0.834 0.667 0.664
0.000 0.000 0.340

No. 5
YTm2Mg (GGA-PBE, optimized geometry); magnetic moment = 0.00 μB/atom; total DFT energy (no corrections) = -4.12 eV/atom; calculated formation energy = 0.5 eV/f.u.; E above lowest polymorph = 3.64 kcal/mol of atoms; symmetry = No. 12
1.0
6.417 -1.704 0.000
6.417 1.704 0.000
-0.884 0.000 10.962
Y Tm Mg
2 4 2
Direct
0.132 0.132 0.002
0.868 0.868 0.998
0.011 0.011 0.283
0.261 0.261 0.743
0.739 0.739 0.257
0.989 0.989 0.717
0.369 0.369 0.486
0.631 0.631 0.514

No. 6
Y12Tm7Mg (GGA-PBE, optimized geometry); magnetic moment = 0.00 μB/atom; total DFT energy (no corrections) = -5.44 eV/atom; calculated formation energy = 1.7 eV/f.u.; symmetry = No. 166
1.0
6.656 3.843 4.095
-6.656 3.843 4.095
0.000 -7.685 4.095
Y Tm Mg
12 7 1
Direct
0.000 0.261 0.739
0.000 0.739 0.261
0.151 0.151 0.415
0.151 0.415 0.151
0.261 0.000 0.739
0.261 0.739 0.000
0.415 0.151 0.151
0.585 0.849 0.849
0.739 0.000 0.261
0.739 0.261 0.000
0.849 0.585 0.849
0.849 0.849 0.585
0.000 0.000 0.000
0.169 0.598 0.598
0.402 0.402 0.831
0.402 0.831 0.402
0.598 0.169 0.598
0.598 0.598 0.169
0.831 0.402 0.402
0.500 0.500 0.500